DFT (SCAN) results for a crystal of Ba3In2P4O16 relaxed with PBEsol.

Properties
raw formation energy = -2.7704 eV/atom
D(E_F) = 0.00 states/eV/f.u.
total moment = 0.00 μB/f.u.
symmetry = No. 14

Cell lengths 8.757, 9.671, 9.177 Å; angles 90.00, 114.81, 90.00 degrees
Atoms (fractional coordinates):
Ba (0.000, 0.000, 0.000)
Ba (0.000, 0.500, 0.500)
Ba (0.268, 0.182, 0.435)
Ba (0.268, 0.318, 0.935)
Ba (0.732, 0.682, 0.065)
Ba (0.732, 0.818, 0.565)
In (0.260, 0.629, 0.261)
In (0.260, 0.871, 0.761)
In (0.740, 0.129, 0.239)
In (0.740, 0.371, 0.739)
P (0.044, 0.631, 0.863)
P (0.044, 0.869, 0.363)
P (0.416, 0.586, 0.679)
P (0.416, 0.914, 0.179)
P (0.584, 0.086, 0.821)
P (0.584, 0.414, 0.321)
P (0.956, 0.131, 0.637)
P (0.956, 0.369, 0.137)
O (0.035, 0.510, 0.219)
O (0.035, 0.990, 0.719)
O (0.082, 0.222, 0.605)
O (0.082, 0.278, 0.105)
O (0.085, 0.703, 0.731)
O (0.085, 0.797, 0.231)
O (0.204, 0.591, 0.013)
O (0.204, 0.909, 0.513)
O (0.292, 0.625, 0.506)
O (0.292, 0.875, 0.006)
O (0.341, 0.037, 0.232)
O (0.341, 0.463, 0.732)
O (0.406, 0.057, 0.812)
O (0.406, 0.443, 0.312)
O (0.442, 0.713, 0.793)
O (0.442, 0.787, 0.293)
O (0.558, 0.213, 0.707)
O (0.558, 0.287, 0.207)
O (0.594, 0.557, 0.688)
O (0.594, 0.943, 0.188)
O (0.659, 0.537, 0.268)
O (0.659, 0.963, 0.768)
O (0.708, 0.125, 0.994)
O (0.708, 0.375, 0.494)
O (0.796, 0.091, 0.487)
O (0.796, 0.409, 0.987)
O (0.915, 0.203, 0.769)
O (0.915, 0.297, 0.269)
O (0.918, 0.722, 0.895)
O (0.918, 0.778, 0.395)
O (0.965, 0.010, 0.281)
O (0.965, 0.490, 0.781)